A plane-wave DFT calculation with GGA-PBE was carried out for crystalline DyHf3Sc7 at its relaxed geometry.

Properties
Symmetry ... P3m1, No. 156
Formation enthalpy at 0 K ... 0.289 eV/atom

```
11
Lattice="6.435 0.000 0.000 -3.218 5.573 0.000 0.000 0.000 7.778" Properties=species:S:1:pos:R:3 pbc="T T T"
Dy 0.000 0.000 0.000
Hf 0.000 1.877 2.642
Hf -1.592 4.634 2.642
Hf 1.592 4.634 2.642
Sc -1.598 2.793 0.120
Sc 0.000 3.715 5.193
Sc 1.611 0.930 5.095
Sc 1.598 2.793 0.120
Sc 0.000 5.560 0.120
Sc 4.825 0.930 5.095
Sc 3.218 3.713 5.095
```


A plane-wave DFT calculation with GGA-PBE was carried out for crystalline MgAuBr2 at its relaxed geometry.

Properties
Symmetry ... Cmmm, No. 65
E above lowest polymorph ... 187.5 meV/atom
Formation energy without anion corrections ... -437 meV/atom

```
8
Lattice="3.685 0.000 0.000 0.000 6.021 0.000 0.000 0.000 10.885" Properties=species:S:1:pos:R:3 pbc="T T T"
Mg 0.000 0.000 0.000
Mg 1.842 3.011 0.000
Au 0.000 0.000 5.442
Au 1.842 3.011 5.442
Br 0.000 3.011 1.764
Br 0.000 3.011 9.121
Br 1.842 0.000 1.764
Br 1.842 0.000 9.121
```


A plane-wave DFT calculation with GGA-PBE was carried out for crystalline Na2AgIrO4 at its relaxed geometry.

Properties
Symmetry ... I-4, No. 82
Formation energy without anion corrections ... -841 meV/atom

```
16
Lattice="5.866 0.000 0.000 0.000 5.866 0.000 0.000 0.000 6.764" Properties=species:S:1:pos:R:3 pbc="T T T"
Na 0.000 0.000 0.000
Na 0.000 2.933 1.691
Na 2.933 0.000 5.073
Na 2.933 2.933 3.382
Ag 0.000 0.000 3.382
Ag 2.933 2.933 0.000
Ir 0.000 2.933 5.073
Ir 2.933 0.000 1.691
O 0.985 4.539 5.048
O 1.327 0.985 1.716
O 1.606 1.948 5.098
O 1.948 4.259 1.666
O 3.918 1.606 1.666
O 4.259 3.918 5.098
O 4.539 4.880 1.716
O 4.880 1.327 5.048
```


Which size of the total moment belongs to each record? In order, 0.00; 0.00; 2.01 μB per formula unit.